(1)
NiAsPtBr2 PBE relaxed; total magnetization = 0.0 μB per formula unit; ΔE_f (raw) = 3.59 eV/f.u.
1.0
4.828 0.000 0.000
0.000 4.828 0.000
0.000 0.000 4.604
Pt Br As Ni
1 2 1 1
direct
0.500 0.500 0.500
0.000 0.500 0.000
0.500 0.000 0.000
0.000 0.000 0.500
0.000 0.000 0.000

***

(2)
NiAsPtBr2 PBE relaxed; total magnetization = 0.8 μB per formula unit; ΔE_f (raw) = 3.87 eV/f.u.
1.0
-2.933 -4.242 1.273
2.005 0.090 4.919
-3.509 2.839 1.379
Ni Pt As Br
1 1 1 2
direct
0.500 0.500 0.500
0.000 0.000 0.000
0.000 0.000 0.500
0.000 0.500 0.000
0.500 0.000 0.000

***

(3)
NiAs2PtBr PBE relaxed; total magnetization = 0.0 μB per formula unit; ΔE_f (raw) = 3.27 eV/f.u.
1.0
-4.002 -0.244 -2.190
0.114 -4.557 0.298
-2.299 0.216 4.177
As Br Pt Ni
2 1 1 1
direct
0.000 0.500 0.000
0.500 0.000 0.000
0.000 0.000 0.500
0.500 0.500 0.500
0.000 0.000 0.000